Below is a relaxed structure of LaPm6Pr2Mg, with properties calculated at the PBE level.

abc: 10.3655 13.9247 9.6925
angles: 90.00 101.42 90.00
Closest atoms and distances in Å follow each position.
Space group C2/c (No. 15)
Symmetry-distinct sites (fractional):
La  0.0000  0.0649  0.2500 (multiplicity 4)  2 Pm 3.30, 2 Pr 3.43
Pm  0.0514  0.3806  0.0952 (multiplicity 8)  2 Mg 3.29-3.51, 3 Pm 3.37-3.54, 2 Pr 3.46-3.60
Pm  0.0957  0.1751  0.9259 (multiplicity 8)  3 Pm 3.37-3.59, 1 Pr 3.47, 1 Mg 3.59
Pm  0.2473  0.2176  0.3285 (multiplicity 8)  1 Mg 3.29, 1 La 3.30, 3 Pm 3.43-3.54, 2 Pr 3.59-3.65
Pr  0.2383  0.0308  0.5902 (multiplicity 8)  1 Mg 3.39, 2 La 3.43-3.74, 6 Pm 3.46-3.73
Mg  0.0000  0.3986  0.7500 (multiplicity 4)  8 Pm 3.29-3.59, 2 Pr 3.39

* size of the total moment: 0.00 μB/f.u.
* calculated formation energy: 0.099 eV per atom
* energy: -0.1602 hartree per atom